(1)
First-principles (PBE-GGA) data for Ce2PaSb3 after structural relaxation, as listed in Alexandria via LeMat-Bulk.

## Properties
SG: I4/mmm
DOS at the Fermi energy in states/eV/f.u.: 17.72

Cell lengths 9.959, 9.959, 9.959 Å; angles 154.19, 154.19, 36.82 degrees
Site moments in Bohr magnetons follow the coordinates.
Fractional positions:
Ce: 0.667 0.667 0.000  0.78
Ce: 0.333 0.333 0.000  0.78
Pa: 0.000 0.000 0.000  0.81
Sb: 0.500 0.500 0.000  -0.03
Sb: 0.836 0.836 0.000  -0.03
Sb: 0.164 0.164 0.000  -0.03

(2)
First-principles (PBE-GGA) data for Ce2PaSb3 after structural relaxation, as listed in Alexandria via LeMat-Bulk.

## Properties
SG: Immm
DOS at the Fermi energy in states/eV/f.u.: 17.61

Cell lengths 6.290, 8.913, 7.716 Å; angles 106.78, 114.05, 90.00 degrees
Site moments in Bohr magnetons follow the coordinates.
Fractional positions:
Ce: 0.668 0.584 0.337  0.81
Ce: 0.668 0.084 0.337  0.81
Ce: 0.332 0.916 0.663  0.81
Ce: 0.332 0.416 0.663  0.81
Pa: 0.000 0.750 0.000  0.76
Pa: 0.000 0.250 0.000  0.76
Sb: 0.500 0.250 0.000  -0.03
Sb: 0.500 0.750 0.000  -0.03
Sb: 0.162 0.081 0.323  -0.03
Sb: 0.839 0.419 0.677  -0.03
Sb: 0.161 0.581 0.323  -0.03
Sb: 0.838 0.919 0.677  -0.03

The least stable of them is (1).

(1)
First-principles (PBE-GGA) data for CeScPa2 after structural relaxation, as listed in Alexandria via LeMat-Bulk.

## Properties
SG: R3m
DOS at the Fermi energy in states/eV/f.u.: 10.77

Cell lengths 3.877, 3.877, 8.555 Å; angles 76.90, 76.90, 60.00 degrees
Fractional positions:
Ce: 0.666 0.666 0.003
Sc: 0.501 0.501 0.497
Pa: 0.066 0.066 0.802
Pa: 0.268 0.268 0.197

(2)
First-principles (PBE-GGA) data for CeScPa2 after structural relaxation, as listed in Alexandria via LeMat-Bulk.

## Properties
SG: P4/mmm
DOS at the Fermi energy in states/eV/f.u.: 7.27

Cell lengths 3.099, 3.099, 10.179 Å; angles 90.00, 90.00, 90.00 degrees
Fractional positions:
Sc: 0.500 0.500 0.500
Pa: 0.000 0.000 0.749
Pa: 0.000 0.000 0.251
Ce: 0.500 0.500 0.000

(3)
First-principles (PBE-GGA) data for CeScPa2 after structural relaxation, as listed in Alexandria via LeMat-Bulk.

## Properties
SG: P-1
DOS at the Fermi energy in states/eV/f.u.: 8.63

Cell lengths 3.237, 5.645, 11.714 Å; angles 97.02, 89.91, 106.72 degrees
Fractional positions:
Ce: 0.125 0.251 0.198
Ce: 0.875 0.749 0.802
Sc: 0.626 0.253 0.937
Sc: 0.374 0.747 0.063
Pa: 0.121 0.242 0.691
Pa: 0.879 0.758 0.309
Pa: 0.624 0.248 0.444
Pa: 0.376 0.752 0.556

The least stable of them is (1).

(1)
First-principles (PBE-GGA) data for CeScPa2 after structural relaxation, as listed in Alexandria via LeMat-Bulk.

## Properties
SG: Fm-3m
DOS at the Fermi energy in states/eV/f.u.: 10.64

Cell lengths 5.193, 5.193, 5.193 Å; angles 60.00, 60.00, 60.00 degrees
Fractional positions:
Sc: 0.500 0.500 0.500
Pa: 0.250 0.250 0.250
Pa: 0.750 0.750 0.750
Ce: 0.000 0.000 0.000

(2)
First-principles (PBE-GGA) data for CeScPa2 after structural relaxation, as listed in Alexandria via LeMat-Bulk.

## Properties
SG: P4/mmm
DOS at the Fermi energy in states/eV/f.u.: 9.51

Cell lengths 4.826, 4.555, 4.555 Å; angles 90.00, 90.00, 90.00 degrees
Fractional positions:
Sc: 0.500 0.000 0.000
Pa: 0.000 0.000 0.500
Pa: 0.000 0.500 0.000
Ce: 0.500 0.500 0.500

The least stable of them is (1).

(1)
First-principles (PBE-GGA) data for CePaSe2 after structural relaxation, as listed in Alexandria via LeMat-Bulk.

## Properties
SG: R-3m
DOS at the Fermi energy in states/eV/f.u.: 8.41

Cell lengths 7.426, 7.426, 7.426 Å; angles 31.50, 31.50, 31.50 degrees
Site moments in Bohr magnetons follow the coordinates.
Fractional positions:
Ce: 0.500 0.500 0.500  0.62
Pa: 0.000 0.000 0.000  -0.47
Se: 0.252 0.252 0.252  0.00
Se: 0.748 0.748 0.748  0.00

(2)
First-principles (PBE-GGA) data for CePaSe2 after structural relaxation, as listed in Alexandria via LeMat-Bulk.

## Properties
SG: P4/mmm
DOS at the Fermi energy in states/eV/f.u.: 11.48

Cell lengths 3.585, 3.585, 7.223 Å; angles 90.00, 90.00, 90.00 degrees
Site moments in Bohr magnetons follow the coordinates.
Fractional positions:
Pa: 0.500 0.500 0.000  1.29
Se: 0.000 0.000 0.759  -0.04
Se: 0.000 0.000 0.241  -0.04
Ce: 0.500 0.500 0.500  1.18

(3)
First-principles (PBE-GGA) data for CePaSe2 after structural relaxation, as listed in Alexandria via LeMat-Bulk.

## Properties
SG: Fm-3m
DOS at the Fermi energy in states/eV/f.u.: 11.42

Cell lengths 5.078, 5.078, 5.078 Å; angles 60.00, 60.00, 60.00 degrees
Site moments in Bohr magnetons follow the coordinates.
Fractional positions:
Pa: 0.000 0.000 0.000  1.46
Se: 0.250 0.250 0.250  -0.04
Se: 0.750 0.750 0.750  -0.04
Ce: 0.500 0.500 0.500  1.09

The least stable of them is (3).

(1)
First-principles (PBE-GGA) data for CePaSe2 after structural relaxation, as listed in Alexandria via LeMat-Bulk.

## Properties
SG: R-3m
DOS at the Fermi energy in states/eV/f.u.: 10.21

Cell lengths 3.938, 3.938, 9.604 Å; angles 78.17, 78.17, 60.00 degrees
Site moments in Bohr magnetons follow the coordinates.
Fractional positions:
Pa: 0.500 0.500 0.500  1.22
Se: 0.103 0.103 0.690  -0.03
Se: 0.897 0.897 0.310  -0.03
Ce: 0.000 0.000 0.000  1.10

(2)
First-principles (PBE-GGA) data for CePaSe2 after structural relaxation, as listed in Alexandria via LeMat-Bulk.

## Properties
SG: R3m
DOS at the Fermi energy in states/eV/f.u.: 10.71

Cell lengths 3.947, 3.947, 7.866 Å; angles 75.47, 75.47, 60.00 degrees
Site moments in Bohr magnetons follow the coordinates.
Fractional positions:
Ce: 0.670 0.670 0.989  0.84
Pa: 0.497 0.497 0.510  0.94
Se: 0.084 0.084 0.748  -0.02
Se: 0.249 0.249 0.253  -0.03

(3)
First-principles (PBE-GGA) data for CePaSe2 after structural relaxation, as listed in Alexandria via LeMat-Bulk.

## Properties
SG: Pmma
DOS at the Fermi energy in states/eV/f.u.: 9.17

Cell lengths 3.776, 8.051, 6.601 Å; angles 90.00, 90.00, 90.00 degrees
Site moments in Bohr magnetons follow the coordinates.
Fractional positions:
Ce: 0.500 0.000 0.500  0.83
Ce: 0.500 0.500 0.500  0.83
Pa: 0.000 0.500 0.000  0.89
Pa: 0.000 0.000 0.000  0.89
Se: 0.500 0.750 0.841  -0.03
Se: 0.500 0.250 0.159  -0.03
Se: 0.000 0.250 0.676  -0.02
Se: 0.000 0.750 0.324  -0.02

The least stable of them is (1).

(1)
First-principles (PBE-GGA) data for Ce3PaSe6 after structural relaxation, as listed in Alexandria via LeMat-Bulk.

## Properties
SG: Cmc2_1
DOS at the Fermi energy in states/eV/f.u.: 22.60

Cell lengths 7.233, 9.086, 9.086 Å; angles 101.93, 90.00, 90.00 degrees
Site moments in Bohr magnetons follow the coordinates.
Fractional positions:
Ce: 0.489 0.917 0.713  1.03
Ce: 0.989 0.713 0.917  1.03
Ce: 0.381 0.403 0.597  0.93
Ce: 0.881 0.597 0.403  0.93
Ce: 0.989 0.083 0.287  1.03
Ce: 0.489 0.287 0.083  1.03
Pa: 0.990 0.159 0.841  1.36
Pa: 0.490 0.841 0.159  1.36
Se: 0.182 0.695 0.631  -0.03
Se: 0.682 0.631 0.695  -0.03
Se: 0.193 0.426 0.904  -0.03
Se: 0.693 0.904 0.426  -0.03
Se: 0.248 0.006 0.994  -0.04
Se: 0.637 0.235 0.765  -0.04
Se: 0.137 0.765 0.235  -0.04
Se: 0.748 0.994 0.006  -0.04
Se: 0.193 0.096 0.574  -0.03
Se: 0.693 0.574 0.096  -0.03
Se: 0.182 0.369 0.305  -0.03
Se: 0.682 0.305 0.369  -0.03

(2)
First-principles (PBE-GGA) data for Ce3PaSe6 after structural relaxation, as listed in Alexandria via LeMat-Bulk.

## Properties
SG: R-3
DOS at the Fermi energy in states/eV/f.u.: 25.35

Cell lengths 8.524, 8.524, 8.524 Å; angles 99.20, 99.20, 99.20 degrees
Site moments in Bohr magnetons follow the coordinates.
Fractional positions:
Ce: 0.122 0.632 0.298  1.05
Ce: 0.298 0.122 0.632  1.05
Ce: 0.368 0.702 0.878  1.05
Ce: 0.632 0.298 0.122  1.05
Ce: 0.702 0.878 0.368  1.05
Ce: 0.878 0.368 0.702  1.05
Pa: 0.000 0.000 0.000  0.66
Pa: 0.500 0.500 0.500  1.29
Se: 0.034 0.677 0.933  -0.03
Se: 0.067 0.966 0.323  -0.03
Se: 0.182 0.426 0.571  -0.04
Se: 0.323 0.067 0.966  -0.03
Se: 0.426 0.571 0.182  -0.04
Se: 0.429 0.818 0.574  -0.04
Se: 0.571 0.182 0.426  -0.04
Se: 0.574 0.429 0.818  -0.04
Se: 0.677 0.933 0.034  -0.03
Se: 0.818 0.574 0.429  -0.04
Se: 0.933 0.034 0.677  -0.03
Se: 0.966 0.323 0.067  -0.03

The least stable of them is (1).

(1)
First-principles (PBE-GGA) data for Ce2Pa2Se7 after structural relaxation, as listed in Alexandria via LeMat-Bulk.

## Properties
SG: Imm2
DOS at the Fermi energy in states/eV/f.u.: 17.08

Cell lengths 4.070, 8.984, 8.984 Å; angles 60.80, 76.91, 76.91 degrees
Site moments in Bohr magnetons follow the coordinates.
Fractional positions:
Ce: 0.000 0.778 0.222  0.81
Ce: 0.500 0.327 0.673  0.86
Pa: 0.742 0.851 0.666  0.86
Pa: 0.258 0.334 0.149  0.86
Se: 0.816 0.077 0.291  -0.04
Se: 0.855 0.421 0.868  -0.04
Se: 0.500 0.012 0.988  -0.04
Se: 0.614 0.492 0.280  -0.03
Se: 0.386 0.720 0.508  -0.03
Se: 0.184 0.709 0.923  -0.04
Se: 0.145 0.132 0.579  -0.04

(2)
First-principles (PBE-GGA) data for Ce2Pa2Se7 after structural relaxation, as listed in Alexandria via LeMat-Bulk.

## Properties
SG: P-4m2
DOS at the Fermi energy in states/eV/f.u.: 24.92

Cell lengths 4.867, 4.867, 13.851 Å; angles 90.00, 90.00, 90.00 degrees
Site moments in Bohr magnetons follow the coordinates.
Fractional positions:
Ce: 0.500 0.000 0.865  0.99
Ce: 0.000 0.500 0.135  0.99
Pa: 0.500 0.000 0.375  0.92
Pa: 0.000 0.500 0.625  0.92
Se: 0.500 0.500 0.000  -0.03
Se: 0.000 0.000 0.247  -0.04
Se: 0.500 0.500 0.260  -0.04
Se: 0.000 0.000 0.500  -0.04
Se: 0.500 0.500 0.500  -0.04
Se: 0.000 0.000 0.753  -0.04
Se: 0.500 0.500 0.740  -0.04

The least stable of them is (2).

(1)
First-principles (PBE-GGA) data for CePaSe3 after structural relaxation, as listed in Alexandria via LeMat-Bulk.

## Properties
SG: C2/m
DOS at the Fermi energy in states/eV/f.u.: 9.89

Cell lengths 5.732, 7.123, 9.000 Å; angles 107.22, 90.00, 113.73 degrees
Site moments in Bohr magnetons follow the coordinates.
Fractional positions:
Ce: 0.389 0.778 0.738  1.07
Ce: 0.611 0.222 0.262  1.07
Pa: 0.139 0.277 0.918  0.98
Pa: 0.861 0.723 0.082  0.98
Se: 0.906 0.812 0.789  -0.03
Se: 0.094 0.188 0.211  -0.03
Se: 0.628 0.256 0.930  -0.03
Se: 0.372 0.744 0.070  -0.03
Se: 0.841 0.682 0.377  -0.03
Se: 0.159 0.318 0.623  -0.03

(2)
First-principles (PBE-GGA) data for CePaSe3 after structural relaxation, as listed in Alexandria via LeMat-Bulk.

## Properties
SG: Pnma
DOS at the Fermi energy in states/eV/f.u.: 9.81

Cell lengths 4.104, 7.795, 16.052 Å; angles 90.00, 90.00, 90.00 degrees
Site moments in Bohr magnetons follow the coordinates.
Fractional positions:
Ce: 0.750 0.895 0.795  0.99
Ce: 0.250 0.105 0.205  0.99
Ce: 0.750 0.395 0.705  0.99
Ce: 0.250 0.605 0.295  0.99
Pa: 0.250 0.261 0.958  1.23
Pa: 0.250 0.761 0.542  1.23
Pa: 0.750 0.239 0.458  1.23
Pa: 0.750 0.739 0.042  1.23
Se: 0.250 0.378 0.568  -0.03
Se: 0.750 0.827 0.220  -0.03
Se: 0.750 0.497 0.898  -0.04
Se: 0.750 0.997 0.602  -0.04
Se: 0.750 0.622 0.432  -0.03
Se: 0.250 0.003 0.398  -0.04
Se: 0.250 0.878 0.932  -0.03
Se: 0.750 0.327 0.280  -0.03
Se: 0.250 0.673 0.720  -0.03
Se: 0.250 0.173 0.780  -0.03
Se: 0.750 0.122 0.068  -0.03
Se: 0.250 0.503 0.102  -0.04

The least stable of them is (1).

(1)
First-principles (PBE-GGA) data for CePaSe4 after structural relaxation, as listed in Alexandria via LeMat-Bulk.

## Properties
SG: P4/mmm
DOS at the Fermi energy in states/eV/f.u.: 4.95

Cell lengths 3.794, 3.794, 9.293 Å; angles 90.00, 90.00, 90.00 degrees
Site moments in Bohr magnetons follow the coordinates.
Fractional positions:
Ce: 0.500 0.500 0.500  0.41
Pa: 0.000 0.000 0.000  -0.08
Se: 0.500 0.500 0.846  0.00
Se: 0.500 0.500 0.154  0.00
Se: 0.000 0.000 0.660  -0.02
Se: 0.000 0.000 0.340  -0.02

(2)
First-principles (PBE-GGA) data for CePaSe4 after structural relaxation, as listed in Alexandria via LeMat-Bulk.

## Properties
SG: P4/mmm
DOS at the Fermi energy in states/eV/f.u.: 8.98

Cell lengths 6.868, 6.873, 8.451 Å; angles 113.95, 113.97, 90.00 degrees
Site moments in Bohr magnetons follow the coordinates.
Fractional positions:
Ce: 0.250 0.750 0.000  0.70
Ce: 0.750 0.250 0.000  0.70
Pa: 0.500 0.500 0.500  0.47
Pa: 0.000 0.000 0.500  0.47
Se: 0.129 0.129 0.259  -0.03
Se: 0.129 0.629 0.259  -0.03
Se: 0.629 0.129 0.259  -0.03
Se: 0.629 0.629 0.259  -0.03
Se: 0.371 0.871 0.741  -0.03
Se: 0.371 0.371 0.741  -0.03
Se: 0.871 0.871 0.741  -0.03
Se: 0.871 0.371 0.741  -0.03

The least stable of them is (1).

(1)
First-principles (PBE-GGA) data for CePa2Si after structural relaxation, as listed in Alexandria via LeMat-Bulk.

## Properties
SG: R-3m
DOS at the Fermi energy in states/eV/f.u.: 8.54

Cell lengths 3.090, 3.090, 11.053 Å; angles 81.96, 81.96, 60.00 degrees
Fractional positions:
Si: 0.500 0.500 0.500
Pa: 0.092 0.092 0.723
Pa: 0.908 0.908 0.277
Ce: 0.000 0.000 0.000

(2)
First-principles (PBE-GGA) data for CePa2Si after structural relaxation, as listed in Alexandria via LeMat-Bulk.

## Properties
SG: P4/mmm
DOS at the Fermi energy in states/eV/f.u.: 10.25

Cell lengths 4.478, 4.478, 4.478 Å; angles 90.00, 90.00, 90.00 degrees
Fractional positions:
Si: 0.500 0.500 0.500
Pa: 0.000 0.000 0.500
Pa: 0.000 0.500 0.000
Ce: 0.500 0.000 0.000

(3)
First-principles (PBE-GGA) data for CePa2Si after structural relaxation, as listed in Alexandria via LeMat-Bulk.

## Properties
SG: P4/mmm
DOS at the Fermi energy in states/eV/f.u.: 11.38

Cell lengths 3.809, 3.809, 6.514 Å; angles 90.00, 90.00, 90.00 degrees
Site moments in Bohr magnetons follow the coordinates.
Fractional positions:
Si: 0.500 0.500 0.500  0.00
Pa: 0.000 0.000 0.711  0.11
Pa: 0.000 0.000 0.289  0.11
Ce: 0.500 0.500 0.000  0.12

The least stable of them is (1).